LaMg2Bi | the Alexandria database | PBE-GGA | optimized geometry; E_form = -177 meV/atom; crystal system = tetragonal; uncorrected energy = -0.2335 Ry/atom; total magnetic moment = 0.00 μB per formula unit
1.0
8.920 0.000 0.000
0.000 8.920 0.000
4.460 4.460 3.212
La Mg Bi
2 4 2
direct
0.250 0.750 0.500
0.500 0.500 0.000
0.875 0.917 0.750
0.083 0.625 0.250
0.667 0.125 0.250
0.375 0.333 0.750
0.000 0.000 0.000
0.750 0.250 0.500